A PBEsol-optimized structure of FeOsNF2, computed with SCAN.

Unit cell a=3.6385 b=3.6385 c=4.2147 alpha=90.00 beta=90.00 gamma=90.00
Closest atoms and distances in Å follow each position.
Fractional coordinates of all 5 atoms:
N1 0.0000 0.0000 0.5000  2 Fe 2.11
F1 0.0000 0.5000 0.0000  2 Fe 1.82
Os1 0.5000 0.5000 0.5000  4 N 2.57, 8 F 2.78
Fe1 0.0000 0.0000 0.0000  4 F 1.82
F2 0.5000 0.0000 0.0000  2 Fe 1.82

Summary:
As for the energy relative to the lowest polymorph listed for this composition: 345.1 meV per atom. The calculation puts the total magnetic moment at 7.3 μB per formula unit. The calculation puts the raw formation energy at 0.325 eV/atom. Its calculated total energy is -104.76 eV/cell.